Computed, not measured: RbSr after structural relaxation at the PBE level of DFT.

E	-1.189	eV/atom
spin magnetization	0.000	μB per formula unit
V	134.0	Å³ per cell
space-group type	No. 65

Lattice parameters (Å, degrees): 4.3638 4.3638 7.7664 90.00 90.00 114.99
Fractional positions:
1 Rb 0.0000 0.0000 0.0000
2 Sr 0.5000 0.5000 0.5000


Computed, not measured: BeCrTe2 after structural relaxation at the PBE level of DFT.

E	-4.455	eV/atom
spin magnetization	4.262	μB per formula unit
V	92.0	Å³ per cell
formation energy (no corrections)	0.4535	eV/atom
space-group type	No. 12

Lattice parameters (Å, degrees): 5.0377 5.0377 4.1831 108.01 108.01 99.43
Fractional positions:
1 Be 0.0000 0.0000 0.0000
2 Cr 0.5000 0.5000 0.0000
3 Te 0.0000 0.5000 0.5000
4 Te 0.5000 0.0000 0.5000


Computed, not measured: K4TmTa3O12 after structural relaxation at the PBE level of DFT.

E	-7.701	eV/atom
spin magnetization	1.584	μB per formula unit
V	281.8	Å³ per cell
formation energy (no corrections)	-2.5051	eV/atom
space-group type	No. 229

Lattice parameters (Å, degrees): 7.1537 7.1537 7.1537 109.47 109.47 109.47
Fractional positions:
1 K 0.0000 0.0000 0.5000
2 K 0.0000 0.5000 0.0000
3 K 0.5000 0.0000 0.0000
4 K 0.5000 0.5000 0.5000
5 Tm 0.0000 0.0000 0.0000
6 Ta 0.0000 0.5000 0.5000
7 Ta 0.5000 0.0000 0.5000
8 Ta 0.5000 0.5000 0.0000
9 O 0.0000 0.2657 0.2657
10 O 0.0000 0.7343 0.7343
11 O 0.2500 0.5000 0.7500
12 O 0.2500 0.7500 0.5000
13 O 0.2657 0.0000 0.2657
14 O 0.2657 0.2657 0.0000
15 O 0.5000 0.2500 0.7500
16 O 0.5000 0.7500 0.2500
17 O 0.7343 0.0000 0.7343
18 O 0.7343 0.7343 0.0000
19 O 0.7500 0.2500 0.5000
20 O 0.7500 0.5000 0.2500


Computed, not measured: RbBeGe2 after structural relaxation at the PBE level of DFT.

E	-3.244	eV/atom
spin magnetization	0.000	μB per formula unit
V	215.6	Å³ per cell
space-group type	No. 141

Lattice parameters (Å, degrees): 8.4972 8.4972 8.4972 143.51 143.51 52.56
Fractional positions:
1 Rb 0.3750 0.6250 0.7500
2 Rb 0.6250 0.3750 0.2500
3 Be 0.1250 0.8750 0.2500
4 Be 0.8750 0.1250 0.7500
5 Ge 0.0000 0.0000 0.0000
6 Ge 0.0000 0.0000 0.5000
7 Ge 0.0000 0.5000 0.0000
8 Ge 0.5000 0.0000 0.5000


Computed, not measured: Nd2AgSb after structural relaxation at the PBE level of DFT.

E	-4.789	eV/atom
spin magnetization	0.000	μB per formula unit
V	230.8	Å³ per cell
formation energy (no corrections)	-0.6616	eV/atom
space-group type	No. 11

Lattice parameters (Å, degrees): 6.3631 4.5043 8.6148 90.00 110.81 90.00
Fractional positions:
1 Nd 0.2133 0.2500 0.4162
2 Nd 0.2126 0.2500 0.9365
3 Nd 0.7874 0.7500 0.0635
4 Nd 0.7867 0.7500 0.5838
5 Ag 0.3438 0.7500 0.2083
6 Ag 0.6562 0.2500 0.7917
7 Sb 0.3272 0.7500 0.7046
8 Sb 0.6728 0.2500 0.2954


Computed, not measured: LaVP2Ru after structural relaxation at the PBE level of DFT.

E	-7.795	eV/atom
spin magnetization	1.867	μB per formula unit
V	89.1	Å³ per cell
space-group type	No. 119

Lattice parameters (Å, degrees): 6.1183 6.1183 6.1183 141.24 141.24 55.97
Fractional positions:
1 La 0.0000 0.0000 0.0000
2 V 0.7500 0.2500 0.5000
3 P 0.3625 0.3625 0.0000
4 P 0.6375 0.6375 0.0000
5 Ru 0.2500 0.7500 0.5000


Computed, not measured: TbPrHo2 after structural relaxation at the PBE level of DFT.

E	-4.620	eV/atom
energy relative to the lowest polymorph listed for this composition	21.8	meV/atom
spin magnetization	0.000	μB per formula unit
V	518.8	Å³ per cell
space-group type	No. 62

Lattice parameters (Å, degrees): 10.1469 5.0603 10.1040 90.00 90.00 90.00
Fractional positions:
1 Tb 0.1250 0.2500 0.2477
2 Tb 0.3750 0.7500 0.7477
3 Tb 0.6250 0.2500 0.2523
4 Tb 0.8750 0.7500 0.7523
5 Pr 0.1269 0.7500 0.5000
6 Pr 0.3731 0.2500 0.0000
7 Pr 0.6269 0.7500 0.0000
8 Pr 0.8731 0.2500 0.5000
9 Ho 0.1225 0.7500 0.9999
10 Ho 0.1250 0.2500 0.7521
11 Ho 0.3750 0.7500 0.2521
12 Ho 0.3775 0.2500 0.4999
13 Ho 0.6225 0.7500 0.5001
14 Ho 0.6250 0.2500 0.7479
15 Ho 0.8750 0.7500 0.2479
16 Ho 0.8775 0.2500 0.0001


Computed, not measured: Te2RhPb after structural relaxation at the PBE level of DFT.

E	-4.037	eV/atom
spin magnetization	0.000	μB per formula unit
V	100.0	Å³ per cell
formation energy (no corrections)	0.2988	eV/atom
space-group type	No. 119

Lattice parameters (Å, degrees): 5.9616 5.9616 5.9616 136.25 136.25 63.60
Fractional positions:
1 Te 0.0000 0.0000 0.0000
2 Te 0.7500 0.2500 0.5000
3 Rh 0.5000 0.5000 0.0000
4 Pb 0.2500 0.7500 0.5000


Computed, not measured: MgAl2Ru after structural relaxation at the PBE level of DFT.

E	-4.832	eV/atom
spin magnetization	0.000	μB per formula unit
V	61.2	Å³ per cell
space-group type	No. 25

Lattice parameters (Å, degrees): 3.0697 4.3750 4.5544 90.00 90.00 90.00
Fractional positions:
1 Mg 0.0000 0.0000 0.0000
2 Al 0.5000 0.0000 0.5091
3 Al 0.5000 0.5000 0.1255
4 Ru 0.0000 0.5000 0.6243


Computed, not measured: Li2MgI after structural relaxation at the PBE level of DFT.

E	-1.881	eV/atom
energy relative to the lowest polymorph listed for this composition	125.2	meV/atom
spin magnetization	0.000	μB per formula unit
V	108.9	Å³ per cell
formation energy (no corrections)	-0.1380	eV/atom
space-group type	No. 225

Lattice parameters (Å, degrees): 5.3607 5.3607 5.3607 60.00 60.00 60.00
Fractional positions:
1 Li 0.2500 0.2500 0.2500
2 Li 0.7500 0.7500 0.7500
3 Mg 0.0000 0.0000 0.0000
4 I 0.5000 0.5000 0.5000


Computed, not measured: Sr2P2Au after structural relaxation at the PBE level of DFT.

E	-4.037	eV/atom
energy relative to the lowest polymorph listed for this composition	350.8	meV/atom
spin magnetization	0.000	μB per formula unit
V	127.2	Å³ per cell
space-group type	No. 139

Lattice parameters (Å, degrees): 9.2231 9.2231 9.2231 156.24 156.24 33.85
Fractional positions:
1 Sr 0.1143 0.1143 0.0000
2 Sr 0.8857 0.8857 0.0000
3 P 0.2500 0.7500 0.5000
4 P 0.7500 0.2500 0.5000
5 Au 0.5000 0.5000 0.0000


Computed, not measured: Rb3U2O5F2 after structural relaxation at the PBE level of DFT.

E	-7.375	eV/atom
spin magnetization	3.000	μB per formula unit
V	226.0	Å³ per cell
formation energy (no corrections)	-2.8739	eV/atom
space-group type	No. 139

Lattice parameters (Å, degrees): 12.2478 12.2478 12.2478 159.46 159.46 29.21
Fractional positions:
1 Rb 0.0000 0.0000 0.0000
2 Rb 0.1872 0.1872 0.0000
3 Rb 0.8128 0.8128 0.0000
4 U 0.4080 0.4080 0.0000
5 U 0.5920 0.5920 0.0000
6 O 0.0971 0.5971 0.5000
7 O 0.4029 0.9029 0.5000
8 O 0.5000 0.5000 0.0000
9 O 0.5971 0.0971 0.5000
10 O 0.9029 0.4029 0.5000
11 F 0.3080 0.3080 0.0000
12 F 0.6920 0.6920 0.0000


Computed, not measured: Tm2PuPd after structural relaxation at the PBE level of DFT.

E	-7.310	eV/atom
energy relative to the lowest polymorph listed for this composition	185.4	meV/atom
spin magnetization	6.581	μB per formula unit
V	94.8	Å³ per cell
space-group type	No. 123

Lattice parameters (Å, degrees): 5.1845 5.1845 3.5255 90.00 90.00 90.00
Fractional positions:
1 Tm 0.0000 0.5000 0.0000
2 Tm 0.5000 0.0000 0.0000
3 Pu 0.0000 0.0000 0.5000
4 Pd 0.5000 0.5000 0.5000


Computed, not measured: ScWCl2 after structural relaxation at the PBE level of DFT.

E	-5.741	eV/atom
energy relative to the lowest polymorph listed for this composition	471.5	meV/atom
spin magnetization	0.677	μB per formula unit
V	73.8	Å³ per cell
formation energy (no corrections)	0.0032	eV/atom
space-group type	No. 47

Lattice parameters (Å, degrees): 2.9086 4.3300 5.8626 90.00 90.00 90.00
Fractional positions:
1 Sc 0.0000 0.0000 0.0000
2 W 0.5000 0.0000 0.5000
3 Cl 0.0000 0.5000 0.5000
4 Cl 0.5000 0.5000 0.0000


Computed, not measured: MgTe2P2Pd7 after structural relaxation at the PBE level of DFT.

E	-5.042	eV/atom
spin magnetization	0.000	μB per formula unit
V	224.8	Å³ per cell
formation energy (no corrections)	-0.4544	eV/atom
space-group type	No. 139

Lattice parameters (Å, degrees): 14.5965 14.5965 14.5965 164.40 164.40 22.13
Fractional positions:
1 Mg 0.0000 0.0000 0.0000
2 Te 0.2077 0.2077 0.0000
3 Te 0.7923 0.7923 0.0000
4 P 0.3844 0.3844 0.0000
5 P 0.6156 0.6156 0.0000
6 Pd 0.0722 0.5722 0.5000
7 Pd 0.3031 0.3031 0.0000
8 Pd 0.4278 0.9278 0.5000
9 Pd 0.5000 0.5000 0.0000
10 Pd 0.5722 0.0722 0.5000
11 Pd 0.6969 0.6969 0.0000
12 Pd 0.9278 0.4278 0.5000


Computed, not measured: AgSb2Ru after structural relaxation at the PBE level of DFT.

E	-5.017	eV/atom
spin magnetization	0.400	μB per formula unit
V	86.0	Å³ per cell
formation energy (no corrections)	0.0758	eV/atom
space-group type	No. 10

Lattice parameters (Å, degrees): 3.1803 3.2172 8.4051 90.00 90.06 90.00
Fractional positions:
1 Ag 0.0000 0.0000 0.0000
2 Sb 0.9995 0.5000 0.3008
3 Sb 0.0005 0.5000 0.6992
4 Ru 0.5000 0.0000 0.5000


Computed, not measured: FeCo5Ni4 after structural relaxation at the PBE level of DFT.

E	-6.470	eV/atom
spin magnetization	14.049	μB per formula unit
V	119.6	Å³ per cell
space-group type	No. 71

Lattice parameters (Å, degrees): 5.8273 5.8273 5.8273 139.93 98.98 94.51
Fractional positions:
1 Fe 0.0000 0.0000 0.0000
2 Co 0.0928 0.8190 0.2738
3 Co 0.4548 0.1810 0.2738
4 Co 0.5000 0.0000 0.5000
5 Co 0.5452 0.8190 0.7262
6 Co 0.9072 0.1810 0.7262
7 Ni 0.2075 0.5000 0.7075
8 Ni 0.3317 0.3317 0.0000
9 Ni 0.6683 0.6683 0.0000
10 Ni 0.7925 0.5000 0.2925


Computed, not measured: TaSi2Os after structural relaxation at the PBE level of DFT.

E	-8.804	eV/atom
spin magnetization	0.000	μB per formula unit
V	58.1	Å³ per cell
formation energy (no corrections)	-0.3219	eV/atom
space-group type	No. 8

Lattice parameters (Å, degrees): 4.6520 4.6520 4.5748 105.35 105.35 37.65
Fractional positions:
1 Ta 0.0000 0.0000 0.0000
2 Si 0.5003 0.5003 0.4897
3 Si 0.7534 0.7534 0.2042
4 Os 0.2393 0.2393 0.6401


Computed, not measured: PmHPd after structural relaxation at the PBE level of DFT.

E	-4.496	eV/atom
energy relative to the lowest polymorph listed for this composition	548.1	meV/atom
spin magnetization	0.000	μB per formula unit
V	66.3	Å³ per cell
space-group type	No. 216

Lattice parameters (Å, degrees): 4.5433 4.5433 4.5433 60.00 60.00 60.00
Fractional positions:
1 Pm 0.0000 0.0000 0.0000
2 H 0.2500 0.2500 0.2500
3 Pd 0.7500 0.7500 0.7500